PBE CsY2IrC, relaxed; volume = 130.8 Å³/cell; formation energy = 0.59 eV per atom
1.0
5.736 0.000 0.000
0.000 3.975 0.000
0.000 0.000 5.736
Cs Y C Ir
1 2 1 1
Direct
0.500 0.500 0.500 Cs
0.000 0.000 0.500 Y
0.500 0.000 0.000 Y
0.000 0.500 0.000 C
0.000 0.000 0.000 Ir